(1)
Here is KBa2RhO4 after structural relaxation from Alexandria. Energies are from PBE.

Unit cell a=7.144 b=7.144 c=12.907 alpha=90.00 beta=90.00 gamma=147.00
Fractional coordinates of all 16 atoms:
K 0.091 0.909 0.750
K 0.909 0.091 0.250
Ba 0.373 0.627 0.552
Ba 0.373 0.627 0.948
Ba 0.627 0.373 0.052
Ba 0.627 0.373 0.448
Rh 0.232 0.768 0.250
Rh 0.768 0.232 0.750
O 0.000 0.000 0.000
O 0.000 0.000 0.500
O 0.250 0.750 0.104
O 0.250 0.750 0.396
O 0.302 0.698 0.750
O 0.698 0.302 0.250
O 0.750 0.250 0.604
O 0.750 0.250 0.896

=====

(2)
Here is KBaRhO4 after structural relaxation from Alexandria. Energies are from PBE.

Unit cell a=6.405 b=5.843 c=7.900 alpha=90.00 beta=99.36 gamma=90.00
Fractional coordinates of all 14 atoms:
K 0.223 0.250 0.027
K 0.777 0.750 0.973
Ba 0.219 0.250 0.540
Ba 0.781 0.750 0.460
Rh 0.252 0.750 0.285
Rh 0.748 0.250 0.715
O 0.042 0.519 0.267
O 0.042 0.981 0.267
O 0.350 0.750 0.521
O 0.454 0.750 0.151
O 0.546 0.250 0.849
O 0.650 0.250 0.479
O 0.958 0.019 0.733
O 0.958 0.481 0.733

=====

(3)
Here is KBa2RhO6 after structural relaxation from Alexandria. Energies are from PBE.

Unit cell a=5.853 b=8.802 c=6.944 alpha=90.00 beta=90.00 gamma=90.00
Fractional coordinates of all 20 atoms:
K 0.250 0.250 0.188
K 0.750 0.750 0.812
Ba 0.250 0.025 0.683
Ba 0.250 0.475 0.683
Ba 0.750 0.525 0.317
Ba 0.750 0.975 0.317
Rh 0.250 0.750 0.296
Rh 0.750 0.250 0.704
O 0.003 0.750 0.119
O 0.024 0.750 0.511
O 0.250 0.530 0.304
O 0.250 0.970 0.304
O 0.476 0.750 0.511
O 0.497 0.750 0.119
O 0.503 0.250 0.881
O 0.524 0.250 0.489
O 0.750 0.030 0.696
O 0.750 0.470 0.696
O 0.976 0.250 0.489
O 0.997 0.250 0.881

=====

(4)
Here is KBa2Rh3O8 after structural relaxation from Alexandria. Energies are from PBE.

Unit cell a=7.080 b=7.080 c=7.080 alpha=55.46 beta=55.46 gamma=55.46
Fractional coordinates of all 14 atoms:
K 0.000 0.000 0.000
Ba 0.241 0.241 0.241
Ba 0.628 0.628 0.628
Rh 0.121 0.625 0.625
Rh 0.625 0.121 0.625
Rh 0.625 0.625 0.121
O 0.371 0.371 0.798
O 0.371 0.798 0.371
O 0.399 0.399 0.399
O 0.447 0.883 0.883
O 0.798 0.371 0.371
O 0.848 0.848 0.848
O 0.883 0.447 0.883
O 0.883 0.883 0.447

=====

(5)
Here is K2Ba2RhO4 after structural relaxation from Alexandria. Energies are from PBE.

Unit cell a=6.143 b=6.143 c=6.143 alpha=118.06 beta=118.06 gamma=93.39
Fractional coordinates of all 9 atoms:
K 0.250 0.750 0.500
K 0.750 0.250 0.500
Ba 0.176 0.176 0.000
Ba 0.824 0.824 0.000
Rh 0.500 0.500 0.000
O 0.263 0.263 0.526
O 0.263 0.737 0.000
O 0.737 0.263 0.000
O 0.737 0.737 0.474

=====

(6)
Here is KBa2RuO5 after structural relaxation from Alexandria. Energies are from PBE.

Unit cell a=7.154 b=7.154 c=7.154 alpha=147.10 beta=126.21 gamma=64.51
Fractional coordinates of all 9 atoms:
K 0.000 0.000 0.000
Ba 0.280 0.780 0.500
Ba 0.720 0.220 0.500
Ru 0.500 0.500 0.000
O 0.167 0.380 0.787
O 0.407 0.620 0.787
O 0.500 0.000 0.500
O 0.593 0.380 0.213
O 0.833 0.620 0.213

=====

no.,density (g/cm³),total energy (eV/atom),total moment (μB/f.u.)
1,4.45,-5.6656,2.024
2,3.91,-5.6737,0.000
3,4.76,-5.6830,2.830
4,5.55,-6.0926,0.000
5,5.13,-4.8277,1.038
6,5.18,-6.1484,2.990